Entry 1:
Entry from the Alexandria database: a relaxed structure of Ca3NdZn8 (GGA-PBE).

Unit cell a=5.5689 b=5.5689 c=9.6556 alpha=73.24 beta=73.24 gamma=60.00
With the nearest neighbours (Å) after each atom.
Fractional coordinates of all 12 atoms:
Zn 0.9389 0.4366 0.1879  6 Zn 2.77-2.80
Zn 0.6879 0.6879 0.9362  6 Zn 2.77-2.80
Zn 0.1876 0.1876 0.4372  6 Zn 2.78-2.79
Ca 0.4996 0.4996 0.5014  12 Zn 3.26-3.28, 1 Ca 3.42, 3 Nd 3.42
Zn 0.4366 0.9389 0.1879  6 Zn 2.77-2.80
Zn 0.9372 0.9372 0.6876  6 Zn 2.77-2.79
Ca 0.0006 0.0006 0.9983  12 Zn 3.25-3.28, 3 Ca 3.40, 1 Nd 3.42
Zn 0.9372 0.4380 0.6876  6 Zn 2.77-2.79
Zn 0.4366 0.4366 0.1879  6 Zn 2.77-2.80
Ca 0.3744 0.3744 0.8768  12 Zn 3.25-3.27, 4 Ca 3.40-3.42
Nd 0.8755 0.8755 0.3735  12 Zn 3.26-3.28, 4 Ca 3.42
Zn 0.4380 0.9372 0.6876  6 Zn 2.77-2.79

## Properties
polymorph energy (0 for the lowest one)	0.08	eV/f.u.
V	244.5	Å³ per cell


Entry 2:
Entry from the Alexandria database: a relaxed structure of In8Ga2Sn (GGA-PBE).

Unit cell a=5.1200 b=8.1793 c=8.1793 alpha=68.81 beta=81.08 gamma=81.08
With the nearest neighbours (Å) after each atom.
Fractional coordinates of all 11 atoms:
In 0.2282 0.8111 0.3616  1 Ga 2.91, 1 In 3.08, 1 Sn 3.12
In 0.2910 0.3934 0.3934  8 In 3.13-3.37
In 0.1046 0.7571 0.7571  2 Ga 2.93-3.01, 3 In 3.08-3.13, 1 Sn 3.22
In 0.7718 0.1889 0.6384  1 Ga 2.91, 1 In 3.08, 1 Sn 3.12
In 0.7090 0.6066 0.6066  8 In 3.13-3.37
In 0.7718 0.6384 0.1889  1 Ga 2.91, 1 In 3.08, 1 Sn 3.12
In 0.2282 0.3616 0.8111  1 Ga 2.91, 1 In 3.08, 1 Sn 3.12
In 0.8954 0.2429 0.2429  2 Ga 2.93-3.01, 3 In 3.08-3.13, 1 Sn 3.22
Sn 0.0000 0.0000 0.0000  4 Ga 2.98-3.19, 6 In 3.12-3.22
Ga 0.5399 0.8705 0.8705  4 In 2.91-3.01, 2 Sn 2.98-3.19
Ga 0.4601 0.1295 0.1295  4 In 2.91-3.01, 2 Sn 2.98-3.19

## Properties
polymorph energy (0 for the lowest one)	0.62	eV/f.u.
V	313.7	Å³ per cell


Entry 3:
Entry from the Alexandria database: a relaxed structure of La5Pr2Sm2 (GGA-PBE).

Unit cell a=5.2985 b=3.7125 c=23.6587 alpha=94.43 beta=90.00 gamma=135.53
With the nearest neighbours (Å) after each atom.
Fractional coordinates of all 9 atoms:
Sm 0.1113 0.2226 0.2226  4 Pr 3.64-3.68, 4 La 3.67-3.71, 4 Sm 3.71
La 0.0000 0.0000 0.0000  12 La 3.71-3.74
La 0.5566 0.1132 0.1123  4 Sm 3.67-3.71, 8 La 3.71-3.74
Pr 0.3347 0.6695 0.6688  4 Sm 3.64-3.68, 4 Pr 3.71, 4 La 3.72-3.75
La 0.7783 0.5566 0.5559  8 La 3.70-3.73, 4 Pr 3.72-3.75
Pr 0.6653 0.3305 0.3312  4 Sm 3.64-3.68, 4 Pr 3.71, 4 La 3.72-3.75
La 0.4434 0.8868 0.8877  4 Sm 3.67-3.71, 8 La 3.71-3.74
Sm 0.8887 0.7774 0.7774  4 Pr 3.64-3.68, 4 La 3.67-3.71, 4 Sm 3.71
La 0.2217 0.4434 0.4441  8 La 3.70-3.73, 4 Pr 3.72-3.75

## Properties
polymorph energy (0 for the lowest one)	0.00	eV/f.u.
V	324.0	Å³ per cell


Entry 4:
Entry from the Alexandria database: a relaxed structure of HoTm2HgC (GGA-PBE).

Unit cell a=4.9014 b=4.8052 c=4.8052 alpha=90.00 beta=90.00 gamma=90.00
With the nearest neighbours (Å) after each atom.
Fractional coordinates of all 5 atoms:
Tm 0.0000 0.0000 0.5000  2 C 2.40
Tm 0.0000 0.5000 0.0000  2 C 2.40
C 0.0000 0.0000 0.0000  4 Tm 2.40, 2 Ho 2.45
Ho 0.5000 0.0000 0.0000  2 C 2.45
Hg 0.5000 0.5000 0.5000  4 Ho 3.40, 8 Tm 3.43

## Properties
DFT total energy	-5.02	eV/atom
V	113.2	Å³ per cell


Entry 5:
Entry from the Alexandria database: a relaxed structure of CrB2Pt2 (GGA-PBE).

Unit cell a=2.9218 b=2.9218 c=7.5079 alpha=78.78 beta=78.78 gamma=90.00
With the nearest neighbours (Å) after each atom.
Fractional coordinates of all 5 atoms:
Pt 0.6388 0.6388 0.7223  4 B 2.17
Cr 0.0000 0.0000 0.0000  8 Pt 2.88, 4 Cr 2.92
Pt 0.3612 0.3612 0.2777  4 B 2.17
B 0.2500 0.7500 0.5000  4 B 2.07, 4 Pt 2.17
B 0.7500 0.2500 0.5000  4 B 2.07, 4 Pt 2.17

## Properties
DFT total energy	-6.95	eV/atom
V	61.6	Å³ per cell


Entry 6:
Entry from the Alexandria database: a relaxed structure of AcErInSn (GGA-PBE).

Unit cell a=5.5659 b=5.5659 c=5.5659 alpha=60.00 beta=60.00 gamma=60.00
With the nearest neighbours (Å) after each atom.
Fractional coordinates of all 4 atoms:
Er 0.0000 0.0000 0.0000  4 In 3.41, 4 Sn 3.41
In 0.7500 0.7500 0.7500  4 Ac 3.41, 4 Er 3.41
Sn 0.2500 0.2500 0.2500  4 Er 3.41, 4 Ac 3.41
Ac 0.5000 0.5000 0.5000  4 Sn 3.41, 4 In 3.41

## Properties
DFT total energy	-4.31	eV/atom
V	121.9	Å³ per cell


Entry 7:
Entry from the Alexandria database: a relaxed structure of Ta4Ti2Nb2W (GGA-PBE).

Unit cell a=8.2043 b=7.1131 c=7.3237 alpha=121.02 beta=89.77 gamma=139.83
With the nearest neighbours (Å) after each atom.
Fractional coordinates of all 9 atoms:
Ti 0.8341 0.5308 0.4948  1 W 2.66, 4 Ta 2.87-2.97, 2 Nb 2.89-2.92
Ta 0.2971 0.1916 0.5031  1 W 2.74, 2 Nb 2.82-2.90, 3 Ta 2.87-3.00, 3 Ti 2.88-3.02
Nb 0.4117 0.6236 0.0245  1 W 2.72, 4 Ta 2.80-3.01, 2 Ti 2.89-2.92, 1 Nb 2.93
Nb 0.5883 0.3764 0.9755  1 W 2.72, 4 Ta 2.80-3.01, 2 Ti 2.89-2.92, 1 Nb 2.93
Ta 0.1332 0.7234 0.9395  1 W 2.77, 2 Nb 2.80-3.01, 3 Ta 2.82-3.00, 3 Ti 2.87-2.97
Ta 0.7029 0.8084 0.4969  1 W 2.74, 2 Nb 2.82-2.90, 3 Ta 2.87-3.00, 3 Ti 2.88-3.02
W 0.0000 0.0000 0.0000  2 Ti 2.66, 2 Nb 2.72, 4 Ta 2.74-2.77
Ti 0.1659 0.4692 0.5052  1 W 2.66, 4 Ta 2.87-2.97, 2 Nb 2.89-2.92
Ta 0.8668 0.2766 0.0605  1 W 2.77, 2 Nb 2.80-3.01, 3 Ta 2.82-3.00, 3 Ti 2.87-2.97

## Properties
DFT total energy	-10.49	eV/atom
V	167.6	Å³ per cell


Entry 8:
Entry from the Alexandria database: a relaxed structure of BeCoAg2 (GGA-PBE).

Unit cell a=4.5808 b=6.1788 c=2.7602 alpha=63.54 beta=89.96 gamma=122.70
With the nearest neighbours (Å) after each atom.
Fractional coordinates of all 4 atoms:
Be 0.5000 0.5000 0.0000  8 Ag 2.67, 2 Be 2.76, 2 Co 2.77
Ag 0.0000 0.0000 0.0000  4 Co 2.67, 4 Be 2.67, 4 Ag 2.76-2.77
Ag 0.0000 0.5000 0.5000  4 Be 2.67, 4 Co 2.67, 4 Ag 2.76-2.77
Co 0.5000 0.0000 0.5000  8 Ag 2.67, 2 Co 2.76, 2 Be 2.77

## Properties
DFT total energy	-3.74	eV/atom
V	55.8	Å³ per cell


Entry 9:
Entry from the Alexandria database: a relaxed structure of KZr2Pb (GGA-PBE).

Unit cell a=5.3623 b=5.3623 c=5.3623 alpha=60.00 beta=60.00 gamma=60.00
With the nearest neighbours (Å) after each atom.
Fractional coordinates of all 4 atoms:
Zr 0.0000 0.0000 0.0000  4 Zr 3.28, 4 Pb 3.28
Pb 0.2500 0.2500 0.2500  4 Zr 3.28, 4 K 3.28
K 0.5000 0.5000 0.5000  4 Zr 3.28, 4 Pb 3.28
Zr 0.7500 0.7500 0.7500  4 Zr 3.28, 4 K 3.28

## Properties
polymorph energy (0 for the lowest one)	2.02	eV/f.u.
V	109.0	Å³ per cell


Entry 10:
Entry from the Alexandria database: a relaxed structure of Er4InRu2 (GGA-PBE).

Unit cell a=4.8404 b=4.8404 c=7.0301 alpha=90.00 beta=90.00 gamma=90.00
With the nearest neighbours (Å) after each atom.
Fractional coordinates of all 7 atoms:
Er 0.5000 0.0000 0.7369  4 Ru 2.94-3.05, 2 In 3.05
Er 0.5000 0.0000 0.2631  4 Ru 2.94-3.05, 2 In 3.05
Er 0.0000 0.5000 0.7369  4 Ru 2.94-3.05, 2 In 3.05
Ru 0.0000 0.0000 0.0000  8 Er 3.05
In 0.5000 0.5000 0.0000  8 Er 3.05
Er 0.0000 0.5000 0.2631  4 Ru 2.94-3.05, 2 In 3.05
Ru 0.5000 0.5000 0.5000  8 Er 2.94

## Properties
DFT total energy	-5.97	eV/atom
V	164.7	Å³ per cell


Entry 11:
Entry from the Alexandria database: a relaxed structure of CsRbAs2S (GGA-PBE).

Unit cell a=6.2736 b=5.8930 c=6.2736 alpha=90.00 beta=90.00 gamma=90.00
With the nearest neighbours (Å) after each atom.
Fractional coordinates of all 5 atoms:
Rb 0.5000 0.5000 0.5000  8 As 4.30, 4 S 4.44
As 0.0000 0.0000 0.5000  2 Cs 3.14
S 0.0000 0.5000 0.0000  2 Cs 2.95
Cs 0.0000 0.0000 0.0000  2 S 2.95, 4 As 3.14
As 0.5000 0.0000 0.0000  2 Cs 3.14

## Properties
DFT total energy	-2.24	eV/atom
V	231.9	Å³ per cell


Entry 12:
Entry from the Alexandria database: a relaxed structure of Cs3SrNb2O8 (GGA-PBE).

Unit cell a=6.5925 b=6.5925 c=8.5308 alpha=90.00 beta=90.00 gamma=120.00
With the nearest neighbours (Å) after each atom.
Fractional coordinates of all 14 atoms:
Nb 0.6667 0.3333 0.7535  4 O 1.87-1.89
O 0.6441 0.8220 0.3214  1 Nb 1.89
O 0.6667 0.3333 0.9725  1 Nb 1.87
Sr 0.0000 0.0000 0.5000  6 O 2.54
O 0.8220 0.6441 0.6786  1 Nb 1.89
O 0.3559 0.1780 0.6786  1 Nb 1.89
Cs 0.3333 0.6667 0.6880  1 O 2.90
O 0.8220 0.1780 0.6786  1 Nb 1.89
Nb 0.3333 0.6667 0.2465  4 O 1.87-1.89
Cs 0.0000 0.0000 0.0000  12 O 3.41-3.81
Cs 0.6667 0.3333 0.3120  1 O 2.90
O 0.3333 0.6667 0.0275  1 Nb 1.87
O 0.1780 0.3559 0.3214  1 Nb 1.89
O 0.1780 0.8220 0.3214  1 Nb 1.89

## Properties
DFT total energy	-6.87	eV/atom
V	321.1	Å³ per cell


Entry 13:
Entry from the Alexandria database: a relaxed structure of PaAsF (GGA-PBE).

Unit cell a=3.9196 b=3.9198 c=7.2667 alpha=90.01 beta=90.00 gamma=90.00
With the nearest neighbours (Å) after each atom.
Fractional coordinates of all 6 atoms:
Pa 0.0145 0.9461 0.9081  4 F 2.62-2.63, 5 As 2.90-2.93
Pa 0.5145 0.4463 0.4275  4 F 2.62-2.63, 5 As 2.90-2.93
As 0.0145 0.9463 0.3118  5 Pa 2.90-2.93
F 0.5145 0.9462 0.6678  4 Pa 2.62-2.63, 4 F 2.77
F 0.0145 0.4463 0.6678  4 Pa 2.62-2.63, 4 F 2.77
As 0.5146 0.4461 0.0238  5 Pa 2.90-2.93

## Properties
polymorph energy (0 for the lowest one)	0.06	eV/f.u.
V	111.6	Å³ per cell


Entry 14:
Entry from the Alexandria database: a relaxed structure of ReAgTe2 (GGA-PBE).

Unit cell a=3.0978 b=3.0978 c=10.7079 alpha=90.00 beta=90.00 gamma=116.94
With the nearest neighbours (Å) after each atom.
Fractional coordinates of all 4 atoms:
Te 0.0000 0.0000 0.9578  2 Re 2.75
Re 0.5000 0.5000 0.7500  4 Te 2.75
Ag 0.5000 0.5000 0.2500  6 Ag 3.10-3.24
Te 0.0000 0.0000 0.5422  2 Re 2.75

## Properties
polymorph energy (0 for the lowest one)	1.50	eV/f.u.
V	91.6	Å³ per cell